Entry from Alexandria via LeMat-Bulk: crystalline TiCrO at its relaxed geometry (PBE+U).

VASP energy: -47.3 eV per cell
SG: No. 12

Lattice parameters (Å, degrees): 3.1077 3.1077 12.5492 75.76 75.76 59.98
Each line ends with the local moment (μB).
Element x y z (fractional)
O (0.2960, 0.2960, 0.5253)  0.04
O (0.4571, 0.4571, 0.7821)  0.04
Ti (0.6694, 0.6694, 0.4648)  -0.41
Ti (0.0837, 0.0837, 0.8425)  -0.41
Cr (0.2836, 0.2836, 0.0430)  4.14
Cr (0.4697, 0.4697, 0.2643)  4.14